## Dy6TmSc (PBE)

Data for Dy6TmSc after structural relaxation.

Results
Total magnetization   0.01 μB per cell
Energy relative to the lowest polymorph listed for this composition   152.1 meV/atom

a = 6.525 Å, b = 6.629 Å, c = 6.524 Å
α = 89.99°, β = 60.01°, γ = 90.00°
Atoms (fractional coordinates):
Dy 0.000 0.752 0.556
Dy 0.557 0.752 0.443
Dy 0.443 0.248 0.557
Dy 0.000 0.248 0.444
Dy 0.443 0.752 0.000
Dy 0.557 0.248 0.000
Tm 0.000 0.500 0.000
Sc 0.000 0.000 0.000

## Dy4Tm3Sc4 (PBE)

Data for Dy4Tm3Sc4 after structural relaxation.

Results
Total magnetization   0.00 μB per cell
Energy relative to the lowest polymorph listed for this composition   0.0 meV/atom

a = 3.438 Å, b = 4.819 Å, c = 19.084 Å
α = 97.25°, β = 95.16°, γ = 90.00°
Atoms (fractional coordinates):
Dy 0.547 0.547 0.094
Dy 0.453 0.453 0.906
Dy 0.816 0.816 0.632
Dy 0.184 0.184 0.368
Tm 0.637 0.637 0.274
Tm 0.363 0.363 0.726
Tm 0.000 0.000 0.000
Sc 0.092 0.092 0.185
Sc 0.272 0.272 0.543
Sc 0.728 0.728 0.457
Sc 0.908 0.908 0.815

## DyTm4Sc2 (PBE)

Data for DyTm4Sc2 after structural relaxation.

Results
Total magnetization   0.00 μB per cell
Energy relative to the lowest polymorph listed for this composition   0.0 meV/atom

a = 8.860 Å, b = 8.144 Å, c = 8.148 Å
α = 136.37°, β = 95.70°, γ = 84.31°
Atoms (fractional coordinates):
Dy 0.124 0.724 0.631
Dy 0.271 0.290 0.055
Tm 0.978 0.147 0.206
Tm 0.197 0.670 0.010
Tm 0.836 0.570 0.769
Tm 0.764 0.963 0.725
Tm 0.345 0.246 0.446
Tm 0.414 0.862 0.484
Tm 0.488 0.813 0.874
Tm 0.905 0.534 0.154
Sc 0.557 0.437 0.921
Sc 0.697 0.009 0.348
Sc 0.626 0.385 0.295
Sc 0.050 0.100 0.581

## DyY6Tm2Sc3 (PBE)

Data for DyY6Tm2Sc3 after structural relaxation.

Results
Total magnetization   0.00 μB per cell

a = 6.043 Å, b = 6.043 Å, c = 11.483 Å
α = 95.03°, β = 95.03°, γ = 119.97°
Atoms (fractional coordinates):
Dy 0.000 0.000 0.000
Y 0.914 0.581 0.742
Y 0.752 0.752 0.258
Y 0.086 0.419 0.258
Y 0.581 0.914 0.742
Y 0.248 0.248 0.742
Y 0.419 0.086 0.258
Tm 0.333 0.667 0.000
Tm 0.667 0.333 0.000
Sc 0.167 0.833 0.500
Sc 0.833 0.167 0.500
Sc 0.500 0.500 0.500

## Dy4Y2TmSc (PBE)

Data for Dy4Y2TmSc after structural relaxation.

Results
Total magnetization   0.00 μB per cell

a = 4.965 Å, b = 4.967 Å, c = 11.073 Å
α = 63.36°, β = 90.00°, γ = 90.00°
Atoms (fractional coordinates):
Dy 0.000 0.747 0.754
Dy 0.000 0.253 0.246
Dy 0.500 0.753 0.246
Dy 0.500 0.247 0.754
Y 0.000 0.000 0.000
Y 0.500 0.000 0.500
Tm 0.000 0.500 0.500
Sc 0.500 0.500 0.000

## DyYTm2Sc4 (PBE)

Data for DyYTm2Sc4 after structural relaxation.

Results
Total magnetization   8.95 μB per cell

a = 9.056 Å, b = 9.056 Å, c = 11.232 Å
α = 128.33°, β = 128.33°, γ = 88.47°
Atoms (fractional coordinates):
Dy 0.500 0.500 0.500
Dy 0.000 0.000 0.000
Y 0.000 0.500 0.000
Y 0.000 0.500 0.500
Tm 0.500 0.000 0.000
Tm 0.500 0.000 0.500
Tm 0.000 0.000 0.500
Tm 0.500 0.500 0.000
Sc 0.254 0.751 0.003
Sc 0.749 0.246 0.497
Sc 0.251 0.754 0.503
Sc 0.746 0.249 0.997
Sc 0.746 0.751 0.000
Sc 0.749 0.754 0.500
Sc 0.251 0.246 0.500
Sc 0.254 0.249 0.000

## DyY5Tm2Sc (PBE)

Data for DyY5Tm2Sc after structural relaxation.

Results
Total magnetization   0.00 μB per cell

a = 5.592 Å, b = 11.006 Å, c = 9.549 Å
α = 90.00°, β = 90.00°, γ = 104.72°
Atoms (fractional coordinates):
Dy 0.611 0.223 0.920
Dy 0.389 0.777 0.420
Y 0.359 0.718 0.039
Y 0.759 0.519 0.890
Y 0.485 0.970 0.730
Y 0.305 0.609 0.715
Y 0.974 0.947 0.497
Y 0.641 0.282 0.539
Y 0.241 0.481 0.390
Y 0.515 0.030 0.230
Y 0.695 0.391 0.215
Y 0.026 0.053 0.997
Tm 0.898 0.795 0.813
Tm 0.109 0.218 0.702
Tm 0.102 0.205 0.313
Tm 0.891 0.782 0.202
Sc 0.812 0.625 0.519
Sc 0.188 0.375 0.019

## DyY2TmSc4 (PBE)

Data for DyY2TmSc4 after structural relaxation.

Results
Total magnetization   0.00 μB per cell

a = 4.875 Å, b = 4.875 Å, c = 10.571 Å
α = 62.53°, β = 90.00°, γ = 90.00°
Atoms (fractional coordinates):
Dy 0.000 0.500 0.500
Y 0.000 0.000 0.000
Y 0.500 0.000 0.500
Tm 0.500 0.500 0.000
Sc 0.000 0.749 0.751
Sc 0.000 0.251 0.249
Sc 0.500 0.751 0.249
Sc 0.500 0.249 0.751

## Dy2Y6TmSc (PBE)

Data for Dy2Y6TmSc after structural relaxation.

Results
Total magnetization   0.00 μB per cell

a = 8.716 Å, b = 9.143 Å, c = 9.143 Å
α = 119.81°, β = 91.54°, γ = 91.54°
Atoms (fractional coordinates):
Dy 0.448 0.789 0.685
Dy 0.052 0.315 0.211
Dy 0.552 0.211 0.315
Dy 0.948 0.685 0.789
Y 0.051 0.126 0.795
Y 0.449 0.205 0.874
Y 0.949 0.874 0.205
Y 0.551 0.795 0.126
Y 0.295 0.048 0.460
Y 0.205 0.540 0.952
Y 0.705 0.952 0.540
Y 0.795 0.460 0.048
Y 0.091 0.733 0.469
Y 0.409 0.531 0.267
Y 0.909 0.267 0.531
Y 0.591 0.469 0.733
Tm 0.250 0.967 0.033
Tm 0.750 0.033 0.967
Sc 0.250 0.445 0.555
Sc 0.750 0.555 0.445

## Dy4YTmSc2 (PBE)

Data for Dy4YTmSc2 after structural relaxation.

Results
Total magnetization   6.84 μB per cell

a = 9.267 Å, b = 9.267 Å, c = 11.477 Å
α = 128.27°, β = 128.27°, γ = 88.61°
Atoms (fractional coordinates):
Dy 0.266 0.750 0.008
Dy 0.750 0.234 0.492
Dy 0.250 0.766 0.508
Dy 0.734 0.250 0.992
Dy 0.738 0.760 0.009
Dy 0.740 0.762 0.491
Dy 0.260 0.238 0.509
Dy 0.262 0.240 0.991
Y 0.000 0.500 0.000
Y 0.000 0.500 0.500
Tm 0.500 0.500 0.500
Tm 0.000 0.000 0.000
Sc 0.500 0.000 0.000
Sc 0.500 0.000 0.500
Sc 0.000 0.000 0.500
Sc 0.500 0.500 0.000

## Dy2YTmSc4 (PBE)

Data for Dy2YTmSc4 after structural relaxation.

Results
Total magnetization   0.00 μB per cell

a = 4.869 Å, b = 4.873 Å, c = 10.552 Å
α = 62.49°, β = 90.00°, γ = 90.00°
Atoms (fractional coordinates):
Dy 0.000 0.000 0.000
Dy 0.500 0.000 0.500
Y 0.500 0.500 0.000
Tm 0.000 0.500 0.500
Sc 0.000 0.752 0.748
Sc 0.000 0.248 0.252
Sc 0.500 0.748 0.252
Sc 0.500 0.252 0.748

## DyY2TmSc (PBE)

Data for DyY2TmSc after structural relaxation.

Results
Total magnetization   0.00 μB per cell

a = 6.310 Å, b = 6.303 Å, c = 8.569 Å
α = 111.58°, β = 90.00°, γ = 90.00°
Atoms (fractional coordinates):
Dy 0.250 0.661 0.321
Dy 0.750 0.339 0.679
Y 0.500 0.248 0.000
Y 0.000 0.752 0.000
Y 0.500 0.752 0.000
Y 0.000 0.248 0.000
Tm 0.750 0.750 0.500
Tm 0.250 0.250 0.500
Sc 0.250 0.844 0.688
Sc 0.750 0.156 0.312

## Dy2Y6Tm3Sc (PBE)

Data for Dy2Y6Tm3Sc after structural relaxation.

Results
Total magnetization   0.00 μB per cell

a = 6.095 Å, b = 6.095 Å, c = 11.674 Å
α = 94.99°, β = 94.99°, γ = 119.95°
Atoms (fractional coordinates):
Dy 0.333 0.667 0.000
Dy 0.667 0.333 0.000
Y 0.917 0.586 0.751
Y 0.751 0.751 0.249
Y 0.083 0.414 0.249
Y 0.586 0.917 0.751
Y 0.249 0.249 0.751
Y 0.414 0.083 0.249
Tm 0.166 0.834 0.500
Tm 0.834 0.166 0.500
Tm 0.500 0.500 0.500
Sc 0.000 0.000 0.000

## Dy6Y2TmSc3 (PBE)

Data for Dy6Y2TmSc3 after structural relaxation.

Results
Total magnetization   0.00 μB per cell

a = 6.034 Å, b = 6.034 Å, c = 11.439 Å
α = 95.04°, β = 95.04°, γ = 119.96°
Atoms (fractional coordinates):
Dy 0.914 0.581 0.741
Dy 0.754 0.754 0.259
Dy 0.086 0.419 0.259
Dy 0.581 0.914 0.741
Dy 0.246 0.246 0.741
Dy 0.419 0.086 0.259
Y 0.333 0.667 0.000
Y 0.667 0.333 0.000
Tm 0.000 0.000 0.000
Sc 0.167 0.833 0.500
Sc 0.833 0.167 0.500
Sc 0.500 0.500 0.500

## Dy2YTm5Sc (PBE)

Data for Dy2YTm5Sc after structural relaxation.

Results
Total magnetization   0.00 μB per cell

a = 5.487 Å, b = 10.221 Å, c = 10.237 Å
α = 90.00°, β = 90.00°, γ = 105.57°
Atoms (fractional coordinates):
Dy 0.889 0.778 0.814
Dy 0.114 0.229 0.735
Dy 0.111 0.222 0.314
Dy 0.886 0.771 0.235
Y 0.590 0.180 0.955
Y 0.410 0.820 0.455
Tm 0.379 0.757 0.022
Tm 0.724 0.449 0.819
Tm 0.481 0.961 0.739
Tm 0.300 0.600 0.706
Tm 0.982 0.965 0.519
Tm 0.621 0.243 0.522
Tm 0.276 0.551 0.319
Tm 0.519 0.039 0.239
Tm 0.700 0.400 0.206
Tm 0.018 0.035 0.019
Sc 0.804 0.607 0.515
Sc 0.196 0.393 0.015

## DyY4Tm2Sc (PBE)

Data for DyY4Tm2Sc after structural relaxation.

Results
Total magnetization   0.00 μB per cell

a = 4.963 Å, b = 4.967 Å, c = 11.090 Å
α = 63.41°, β = 90.00°, γ = 90.00°
Atoms (fractional coordinates):
Dy 0.500 0.500 0.000
Y 0.000 0.755 0.745
Y 0.000 0.245 0.255
Y 0.500 0.745 0.255
Y 0.500 0.255 0.745
Tm 0.000 0.000 0.000
Tm 0.500 0.000 0.500
Sc 0.000 0.500 0.500

## DyYTm5Sc2 (PBE)

Data for DyYTm5Sc2 after structural relaxation.

Results
Total magnetization   0.00 μB per cell

a = 5.521 Å, b = 10.963 Å, c = 9.234 Å
α = 90.00°, β = 90.00°, γ = 104.58°
Atoms (fractional coordinates):
Dy 0.813 0.626 0.517
Dy 0.187 0.374 0.017
Y 0.598 0.195 0.919
Y 0.402 0.805 0.419
Tm 0.392 0.783 0.046
Tm 0.736 0.472 0.837
Tm 0.469 0.937 0.749
Tm 0.307 0.615 0.721
Tm 0.991 0.981 0.519
Tm 0.608 0.217 0.546
Tm 0.264 0.528 0.337
Tm 0.531 0.063 0.249
Tm 0.693 0.385 0.221
Tm 0.009 0.019 0.019
Sc 0.887 0.774 0.822
Sc 0.140 0.281 0.694
Sc 0.113 0.226 0.322
Sc 0.860 0.719 0.194

## DyYTmSc (PBE)

Data for DyYTmSc after structural relaxation.

Results
Total magnetization   0.00 μB per cell
Energy relative to the lowest polymorph listed for this composition   74.3 meV/atom

a = 5.522 Å, b = 5.522 Å, c = 5.522 Å
α = 60.00°, β = 60.00°, γ = 60.00°
Atoms (fractional coordinates):
Y 0.250 0.250 0.250
Sc 0.500 0.500 0.500
Tm 0.000 0.000 0.000
Dy 0.750 0.750 0.750

## Dy3Y6TmSc2 (PBE)

Data for Dy3Y6TmSc2 after structural relaxation.

Results
Total magnetization   0.00 μB per cell

a = 6.084 Å, b = 6.084 Å, c = 11.601 Å
α = 95.01°, β = 95.01°, γ = 119.95°
Atoms (fractional coordinates):
Dy 0.167 0.833 0.500
Dy 0.833 0.167 0.500
Dy 0.500 0.500 0.500
Y 0.918 0.583 0.756
Y 0.746 0.746 0.244
Y 0.082 0.417 0.244
Y 0.583 0.918 0.756
Y 0.254 0.254 0.756
Y 0.417 0.082 0.244
Tm 0.000 0.000 0.000
Sc 0.333 0.667 0.000
Sc 0.667 0.333 0.000

## Dy6Y2Tm3Sc (PBE)

Data for Dy6Y2Tm3Sc after structural relaxation.

Results
Total magnetization   0.00 μB per cell

a = 6.079 Å, b = 6.079 Å, c = 11.618 Å
α = 95.00°, β = 95.00°, γ = 119.95°
Atoms (fractional coordinates):
Dy 0.917 0.587 0.750
Dy 0.752 0.752 0.250
Dy 0.083 0.413 0.250
Dy 0.587 0.917 0.750
Dy 0.248 0.248 0.750
Dy 0.413 0.083 0.250
Y 0.333 0.667 0.000
Y 0.667 0.333 0.000
Tm 0.166 0.834 0.500
Tm 0.834 0.166 0.500
Tm 0.500 0.500 0.500
Sc 0.000 0.000 0.000

Number 1: formation enthalpy at 0 K 0.184 eV/atom. Number 2: formation enthalpy at 0 K 0.048 eV/atom. Number 3: formation enthalpy at 0 K 0.012 eV/atom. Number 4: formation enthalpy at 0 K 0.053 eV/atom. Number 5: formation enthalpy at 0 K 0.035 eV/atom. Number 6: formation enthalpy at 0 K 0.446 eV/atom. Number 7: formation enthalpy at 0 K 0.162 eV/atom. Number 8: formation enthalpy at 0 K 0.058 eV/atom. Number 9: formation enthalpy at 0 K 0.122 eV/atom. Number 10: formation enthalpy at 0 K 0.447 eV/atom. Number 11: formation enthalpy at 0 K 0.055 eV/atom. Number 12: formation enthalpy at 0 K 0.402 eV/atom. Number 13: formation enthalpy at 0 K 0.036 eV/atom. Number 14: formation enthalpy at 0 K 0.046 eV/atom. Number 15: formation enthalpy at 0 K 0.174 eV/atom. Number 16: formation enthalpy at 0 K 0.039 eV/atom. Number 17: formation enthalpy at 0 K 0.175 eV/atom. Number 18: formation enthalpy at 0 K 0.122 eV/atom. Number 19: formation enthalpy at 0 K 0.044 eV/atom. Number 20: formation enthalpy at 0 K 0.030 eV/atom.